# 1
The following is a PBE-GGA calculation of a relaxed YScMo crystal, from Alexandria.

a = 3.4782 Å, b = 3.4782 Å, c = 11.4485 Å
α = 90.00°, β = 90.00°, γ = 90.00°
Last column: nearest neighbours and their distance in Å.
Sites, in units of the cell vectors:
Y 0.0000 0.0000 0.0000  4 Mo 3.06, 1 Sc 3.20
Y 0.5000 0.5000 0.5000  4 Mo 3.06, 1 Sc 3.20
Sc 0.0000 0.0000 0.2792  4 Mo 2.82
Sc 0.5000 0.5000 0.7792  4 Mo 2.82
Mo 0.0000 0.0000 0.6583  4 Sc 2.82, 4 Y 3.06
Mo 0.5000 0.5000 0.1583  4 Sc 2.82, 4 Y 3.06

Summary:
Energy above the most stable polymorph in this dataset in eV per atom: 0.000
Final energy in eV/cell: -45.832

# 2
The following is a PBE-GGA calculation of a relaxed Y2ScMo crystal, from Alexandria.

a = 3.3654 Å, b = 3.3654 Å, c = 31.0017 Å
α = 90.00°, β = 90.00°, γ = 120.00°
Last column: nearest neighbours and their distance in Å.
Sites, in units of the cell vectors:
Y 0.0000 0.0000 0.2401  3 Mo 2.99
Y 0.0000 0.0000 0.7599  3 Mo 2.99
Y 0.3333 0.6667 0.4265  3 Mo 2.99
Y 0.3333 0.6667 0.9068  3 Mo 2.99
Y 0.6667 0.3333 0.0932  3 Mo 2.99
Y 0.6667 0.3333 0.5735  3 Mo 2.99
Sc 0.0000 0.0000 0.0000  6 Sc 3.37, 6 Y 3.48
Sc 0.3333 0.6667 0.6667  6 Sc 3.37, 6 Y 3.48
Sc 0.6667 0.3333 0.3333  6 Sc 3.37, 6 Y 3.48
Mo 0.0000 0.0000 0.5000  6 Y 2.99
Mo 0.3333 0.6667 0.1667  6 Y 2.99
Mo 0.6667 0.3333 0.8333  6 Y 2.99

Summary:
Energy above the most stable polymorph in this dataset in eV per atom: 0.247
Final energy in eV/cell: -85.129

# 3
The following is a PBE-GGA calculation of a relaxed Y2ScMo crystal, from Alexandria.

a = 3.8415 Å, b = 5.2080 Å, c = 10.0915 Å
α = 90.00°, β = 90.00°, γ = 90.00°
Last column: nearest neighbours and their distance in Å.
Sites, in units of the cell vectors:
Y 0.0000 0.0000 0.0000  4 Y 3.24, 2 Sc 3.45
Y 0.0000 0.5000 0.3147  2 Mo 2.87
Y 0.5000 0.0000 0.3147  2 Mo 2.87
Y 0.5000 0.5000 0.0000  4 Y 3.24, 2 Sc 3.45
Sc 0.0000 0.5000 0.7164  2 Mo 2.71
Sc 0.5000 0.0000 0.7164  2 Mo 2.71
Mo 0.0000 0.0000 0.5265  2 Sc 2.71, 2 Y 2.87
Mo 0.5000 0.5000 0.5265  2 Sc 2.71, 2 Y 2.87

Summary:
Energy above the most stable polymorph in this dataset in eV per atom: 0.100
Final energy in eV/cell: -57.927

# 4
The following is a PBE-GGA calculation of a relaxed Y2ScMo crystal, from Alexandria.

a = 4.6651 Å, b = 4.6651 Å, c = 4.4566 Å
α = 90.00°, β = 90.00°, γ = 90.00°
Last column: nearest neighbours and their distance in Å.
Sites, in units of the cell vectors:
Y 0.0000 0.5000 0.0000  4 Mo 3.23, 4 Sc 3.23, 4 Y 3.30
Y 0.5000 0.0000 0.0000  4 Mo 3.23, 4 Sc 3.23, 4 Y 3.30
Sc 0.0000 0.0000 0.5000  8 Y 3.23, 4 Mo 3.30
Mo 0.5000 0.5000 0.5000  8 Y 3.23, 4 Sc 3.30

Summary:
Energy above the most stable polymorph in this dataset in eV per atom: 0.151
Final energy in eV/cell: -28.760

# 5
The following is a PBE-GGA calculation of a relaxed YSc3Mo crystal, from Alexandria.

a = 4.9444 Å, b = 4.9444 Å, c = 4.9444 Å
α = 90.00°, β = 90.00°, γ = 90.00°
Last column: nearest neighbours and their distance in Å.
Sites, in units of the cell vectors:
Y 0.0000 0.0000 0.0000  6 Sc 2.47
Sc 0.0000 0.0000 0.5000  2 Y 2.47
Sc 0.0000 0.5000 0.0000  2 Y 2.47
Sc 0.5000 0.0000 0.0000  2 Y 2.47
Mo 0.5000 0.5000 0.5000  12 Sc 3.50

Summary:
Energy above the most stable polymorph in this dataset in eV per atom: 1.315
Final energy in eV/cell: -28.244

# 6
The following is a PBE-GGA calculation of a relaxed YScMo crystal, from Alexandria.

a = 6.8282 Å, b = 6.8282 Å, c = 6.8282 Å
α = 90.00°, β = 90.00°, γ = 90.00°
Last column: nearest neighbours and their distance in Å.
Sites, in units of the cell vectors:
Y 0.0000 0.0000 0.0000  4 Sc 2.96, 4 Mo 2.96
Y 0.0000 0.5000 0.5000  4 Mo 2.96, 4 Sc 2.96
Y 0.5000 0.0000 0.5000  4 Mo 2.96, 4 Sc 2.96
Y 0.5000 0.5000 0.0000  4 Mo 2.96, 4 Sc 2.96
Sc 0.2500 0.2500 0.7500  4 Y 2.96
Sc 0.2500 0.7500 0.2500  4 Y 2.96
Sc 0.7500 0.2500 0.2500  4 Y 2.96
Sc 0.7500 0.7500 0.7500  4 Y 2.96
Mo 0.2500 0.2500 0.2500  4 Y 2.96
Mo 0.2500 0.7500 0.7500  4 Y 2.96
Mo 0.7500 0.2500 0.7500  4 Y 2.96
Mo 0.7500 0.7500 0.2500  4 Y 2.96

Summary:
Energy above the most stable polymorph in this dataset in eV per atom: 1.061
Final energy in eV/cell: -78.929

Q: Look up the final energy of the sixth one.
A: -78.929 eV/cell

Repeat the third record exactly.
The following is a PBE-GGA calculation of a relaxed Y2ScMo crystal, from Alexandria.

a = 3.8415 Å, b = 5.2080 Å, c = 10.0915 Å
α = 90.00°, β = 90.00°, γ = 90.00°
Last column: nearest neighbours and their distance in Å.
Sites, in units of the cell vectors:
Y 0.0000 0.0000 0.0000  4 Y 3.24, 2 Sc 3.45
Y 0.0000 0.5000 0.3147  2 Mo 2.87
Y 0.5000 0.0000 0.3147  2 Mo 2.87
Y 0.5000 0.5000 0.0000  4 Y 3.24, 2 Sc 3.45
Sc 0.0000 0.5000 0.7164  2 Mo 2.71
Sc 0.5000 0.0000 0.7164  2 Mo 2.71
Mo 0.0000 0.0000 0.5265  2 Sc 2.71, 2 Y 2.87
Mo 0.5000 0.5000 0.5265  2 Sc 2.71, 2 Y 2.87

Summary:
Energy above the most stable polymorph in this dataset in eV per atom: 0.100
Final energy in eV/cell: -57.927